# 1
Compound: Y2AlCu
Source: the Alexandria database
Functional: GGA-PBEsol
Structure: optimized geometry

Cell lengths 3.4126, 4.8377, 5.9557 Å; angles 114.00, 106.65, 90.00 degrees
Positions (direct):
Y 0.7567 0.2567 0.5134
Cu 0.2243 0.7234 0.4486
Y 0.9711 0.9715 0.9422
Al 0.5479 0.5484 0.0958

Size of the total moment (μB per formula unit): 0.02
Density of states at the Fermi level (states/eV per atom): 1.169
Formation energy (meV/atom): -254
Symmetry: No. 8



# 2
Compound: SnW3O9
Source: the Alexandria database
Functional: GGA-PBEsol
Structure: optimized geometry

Cell lengths 7.4502, 7.4627, 7.5866 Å; angles 90.00, 90.00, 119.95 degrees
Positions (direct):
O 0.0000 0.5000 0.5000
O 0.8060 0.1964 0.2500
O 0.7763 0.2210 0.7500
O 0.0000 0.5000 0.0000
W 0.4989 0.4996 0.2500
O 0.2237 0.7790 0.2500
W 0.4952 0.0000 0.2500
O 0.5000 0.5000 0.5000
O 0.5000 0.0000 0.5000
O 0.2066 0.4224 0.7500
W 0.9993 0.5004 0.2500
O 0.7841 0.5775 0.7500
O 0.5000 0.0000 0.0000
O 0.6096 0.8036 0.2500
O 0.5000 0.5000 0.0000
Sn 0.0509 0.0000 0.7500
O 0.3904 0.1964 0.7500
W 0.5048 0.0000 0.7500
W 0.0007 0.4996 0.7500
Sn 0.9491 0.0000 0.2500
W 0.5011 0.5004 0.7500
O 0.2159 0.4225 0.2500
O 0.7934 0.5776 0.2500
O 0.1940 0.8036 0.7500
O 0.5553 0.7789 0.7500
O 0.4447 0.2211 0.2500

ΔE_f (raw) (eV per atom): -1.982
Size of the total moment (μB per formula unit): 0.00
Density of states at the Fermi level (states/eV per atom): 0.237
Symmetry: No. 63



# 3
Compound: CeGePd2
Source: the Alexandria database
Functional: GGA-PBEsol
Structure: optimized geometry

Cell lengths 5.5375, 6.8181, 7.7887 Å; angles 90.00, 90.00, 90.00 degrees
Site moments in Bohr magnetons follow the coordinates.
Positions (direct):
Ge 0.8384 0.7500 0.1115  -0.01
Pd 0.4037 0.0486 0.6786  -0.01
Ge 0.3384 0.2500 0.3885  -0.01
Pd 0.9037 0.5486 0.8214  -0.01
Ge 0.6616 0.7500 0.6115  -0.01
Pd 0.5963 0.9514 0.3214  -0.01
Pd 0.4037 0.4514 0.6786  -0.01
Ce 0.8458 0.2500 0.5482  0.44
Ce 0.3458 0.7500 0.9518  0.44
Pd 0.9037 0.9514 0.8214  -0.01
Pd 0.5963 0.5486 0.3214  -0.01
Pd 0.0963 0.0486 0.1786  -0.01
Ce 0.1542 0.7500 0.4518  0.44
Ce 0.6542 0.2500 0.0482  0.44
Pd 0.0963 0.4514 0.1786  -0.01
Ge 0.1616 0.2500 0.8885  -0.01

Size of the total moment (μB per formula unit): 0.46
Density of states at the Fermi level (states/eV per atom): 1.425
Formation energy (meV/atom): -797
Symmetry: No. 62



Question: Number 3 is which compound?
Answer: CeGePd2



Question: Look up the size of the total moment of the first one.
Answer: 0.02 μB per formula unit



Question: Which of these has the highest density of states at the Fermi level?
Answer: CeGePd2



Question: Which value of density of states at the Fermi level does entry 1 give?
Answer: 1.169 states/eV per atom